A plane-wave DFT calculation with PBE was carried out for a geometry-optimized Sr2AgHg6Pb structure.

Cell and atoms, written as POSCAR:
```
Sr2AgHg6Pb
1.0
0.000 5.569 5.569
5.569 0.000 5.569
5.569 5.569 0.000
Sr Ag Hg Pb
2 1 6 1
Cartesian
2.784 2.784 2.784 Sr
8.353 8.353 8.353 Sr
0.000 0.000 0.000 Ag
5.569 5.569 2.685 Hg
5.569 2.685 5.569 Hg
8.452 5.569 5.569 Hg
2.685 5.569 5.569 Hg
5.569 8.452 5.569 Hg
5.569 5.569 8.452 Hg
5.569 5.569 5.569 Pb
```

Computed properties:
The energy of formation from the pure elements comes out at -0.031 eV per atom. Its spin magnetization is 0.0 μB/cell. The value obtained for the mass density is 8.143 g/cm³. As for the space group: Fm-3m.



A plane-wave DFT calculation with PBE was carried out for a geometry-optimized SrAgHgPb structure.

Cell and atoms, written as POSCAR:
```
SrAgHgPb
1.0
0.000 3.793 3.793
3.793 0.000 3.793
3.793 3.793 0.000
Sr Ag Hg Pb
1 1 1 1
Cartesian
0.000 0.000 0.000 Sr
5.690 5.690 5.690 Ag
1.897 1.897 1.897 Hg
3.793 3.793 3.793 Pb
```

Computed properties:
The energy of formation from the pure elements comes out at -0.294 eV per atom. Its spin magnetization is 0.0 μB/cell. The value obtained for the mass density is 9.178 g/cm³. As for the space group: F-43m.



Repeat the second record exactly.
A plane-wave DFT calculation with PBE was carried out for a geometry-optimized SrAgHgPb structure.

Cell and atoms, written as POSCAR:
```
SrAgHgPb
1.0
0.000 3.793 3.793
3.793 0.000 3.793
3.793 3.793 0.000
Sr Ag Hg Pb
1 1 1 1
Cartesian
0.000 0.000 0.000 Sr
5.690 5.690 5.690 Ag
1.897 1.897 1.897 Hg
3.793 3.793 3.793 Pb
```

Computed properties:
The energy of formation from the pure elements comes out at -0.294 eV per atom. Its spin magnetization is 0.0 μB/cell. The value obtained for the mass density is 9.178 g/cm³. As for the space group: F-43m.



> The highest mass density belongs to which entry?

SrAgHgPb



> The lowest mass density belongs to which entry?

Sr2AgHg6Pb